(1)
Compound: CoSb2Rh
Source: the Alexandria database
Functional: PBE-GGA
Structure: optimized geometry

## Properties
magnetic moment = 0.00 μB/cell
mass density = 9.48 Mg/m³
formation energy from raw total energies = -0.13 eV/atom
polymorph energy (0 for the lowest one) = 0 kJ/mol of formula units
crystal system = tetragonal
total energy = -5.8075 eV/atom
D(E_F) = 0.19 states/eV/atom

Structure (CIF):
```
data_CoSb2Rh
_chemical_formula_sum 'Co1 Sb2 Rh1'
_symmetry_space_group_name_H-M 'P 4 m m'
_symmetry_Int_Tables_number 99
_cell_length_a 3.6381
_cell_length_b 3.6381
_cell_length_c 5.3619
_cell_angle_alpha 90.00
_cell_angle_beta 90.00
_cell_angle_gamma 90.00
loop_
_symmetry_equiv_pos_as_xyz
'x,y,z'
'-y,x,z'
'-x,-y,z'
'y,-x,z'
'-x,y,z'
'y,x,z'
'x,-y,z'
'-y,-x,z'
loop_
_atom_site_label
_atom_site_type_symbol
_atom_site_fract_x
_atom_site_fract_y
_atom_site_fract_z
Co1 Co 0.0000 0.0000 0.0000
Sb1 Sb 0.0000 0.0000 0.4942
Sb2 Sb 0.5000 0.5000 0.8696
Rh1 Rh 0.5000 0.5000 0.3513
```

---

(2)
Compound: MgBeCr2Se
Source: the Alexandria database
Functional: PBE-GGA
Structure: optimized geometry

## Properties
magnetic moment = 9.33 μB/cell
mass density = 2.88 Mg/m³
formation energy from raw total energies = 1.52 eV/atom
crystal system = tetragonal
total energy = -4.0945 eV/atom
D(E_F) = 0.55 states/eV/atom

Structure (CIF):
```
data_MgBeCr2Se
_chemical_formula_sum 'Mg1 Be1 Cr2 Se1'
_symmetry_space_group_name_H-M 'P 4/m m m'
_symmetry_Int_Tables_number 123
_symmetry_space_group_name_Hall '-P 4 2'
_cell_length_a 5.1193
_cell_length_b 5.1193
_cell_length_c 4.7638
_cell_angle_alpha 90.00
_cell_angle_beta 90.00
_cell_angle_gamma 90.00
loop_
_atom_site_label
_atom_site_type_symbol
_atom_site_fract_x
_atom_site_fract_y
_atom_site_fract_z
Mg1 Mg 0.0000 0.0000 0.0000
Be1 Be 0.5000 0.5000 0.5000
Cr1 Cr 0.0000 0.5000 0.0000
Se1 Se 0.0000 0.0000 0.5000
```

---

(3)
Compound: CrNi2Os
Source: the Alexandria database
Functional: PBE-GGA
Structure: optimized geometry

## Properties
magnetic moment = 0.71 μB/cell
mass density = 12.46 Mg/m³
calculated formation energy = 0.053 eV per atom
polymorph energy (0 for the lowest one) = 9 kJ/mol of formula units
crystal system = tetragonal
total energy = -8.0513 eV/atom
D(E_F) = 1.26 states/eV/atom

Structure (CIF):
```
data_CrNi2Os
_chemical_formula_sum 'Cr1 Ni2 Os1'
_symmetry_space_group_name_H-M 'P 4/m m m'
_symmetry_Int_Tables_number 123
_symmetry_space_group_name_Hall '-P 4 2'
_cell_length_a 3.5694
_cell_length_b 3.5694
_cell_length_c 3.7619
_cell_angle_alpha 90.00
_cell_angle_beta 90.00
_cell_angle_gamma 90.00
loop_
_atom_site_label
_atom_site_type_symbol
_atom_site_fract_x
_atom_site_fract_y
_atom_site_fract_z
Cr1 Cr 0.0000 0.0000 0.0000
Ni1 Ni 0.0000 0.5000 0.5000
Os1 Os 0.5000 0.5000 0.0000
```

---

(4)
Compound: K2BaTlAs2
Source: the Alexandria database
Functional: PBE-GGA
Structure: optimized geometry

## Properties
magnetic moment = 0.00 μB/cell
mass density = 4.65 Mg/m³
calculated formation energy = -0.562 eV per atom
crystal system = orthorhombic
total energy = -3.1925 eV/atom
D(E_F) = 0.34 states/eV/atom

Structure (CIF):
```
data_K2BaTlAs2
_chemical_formula_sum 'K4 Ba2 Tl2 As4'
_symmetry_space_group_name_H-M 'P m c 21'
_symmetry_Int_Tables_number 26
_cell_length_a 4.8640
_cell_length_b 9.5680
_cell_length_c 8.7397
_cell_angle_alpha 90.00
_cell_angle_beta 90.00
_cell_angle_gamma 90.00
loop_
_symmetry_equiv_pos_as_xyz
'x,y,z'
'-x,-y,z+1/2'
'-x,y,z'
'x,-y,z+1/2'
loop_
_atom_site_label
_atom_site_type_symbol
_atom_site_fract_x
_atom_site_fract_y
_atom_site_fract_z
K1 K 0.0000 0.0831 0.0000
K2 K 0.5000 0.1734 0.3287
Ba1 Ba 0.5000 0.4441 0.9450
Tl1 Tl 0.0000 0.3127 0.6141
As1 As 0.0000 0.4020 0.2327
As2 As 0.5000 0.1649 0.7154
```

---

(5)
Compound: KTa2Os
Source: the Alexandria database
Functional: PBE-GGA
Structure: optimized geometry

## Properties
magnetic moment = 0.00 μB/cell
mass density = 12.92 Mg/m³
calculated formation energy = 1.411 eV per atom
polymorph energy (0 for the lowest one) = 321 kJ/mol of formula units
crystal system = cubic
total energy = -7.5972 eV/atom
D(E_F) = 1.54 states/eV/atom

Structure (CIF):
```
data_KTa2Os
_chemical_formula_sum 'K4 Ta8 Os4'
_symmetry_space_group_name_H-M 'F -4 3 m'
_symmetry_Int_Tables_number 216
_symmetry_space_group_name_Hall 'F -4 2 3'
_cell_length_a 6.7243
_cell_length_b 6.7243
_cell_length_c 6.7243
_cell_angle_alpha 90.00
_cell_angle_beta 90.00
_cell_angle_gamma 90.00
loop_
_atom_site_label
_atom_site_type_symbol
_atom_site_fract_x
_atom_site_fract_y
_atom_site_fract_z
K1 K 0.0000 0.0000 0.0000
Ta1 Ta 0.0000 0.0000 0.5000
Ta2 Ta 0.2500 0.2500 0.2500
Os1 Os 0.2500 0.2500 0.7500
```

---

(6)
Compound: Y3ScIr
Source: the Alexandria database
Functional: PBE-GGA
Structure: optimized geometry

## Properties
magnetic moment = 0.00 μB/cell
mass density = 5.31 Mg/m³
calculated formation energy = -0.160 eV per atom
polymorph energy (0 for the lowest one) = 0 kJ/mol of formula units
crystal system = cubic
total energy = -7.0773 eV/atom
D(E_F) = 1.50 states/eV/atom

Structure (CIF):
```
data_Y3ScIr
_chemical_formula_sum 'Y3 Sc1 Ir1'
_symmetry_space_group_name_H-M 'P m -3 m'
_symmetry_Int_Tables_number 221
_symmetry_space_group_name_Hall '-P 4 2 3'
_cell_length_a 5.4024
_cell_length_b 5.4024
_cell_length_c 5.4024
_cell_angle_alpha 90.00
_cell_angle_beta 90.00
_cell_angle_gamma 90.00
loop_
_atom_site_label
_atom_site_type_symbol
_atom_site_fract_x
_atom_site_fract_y
_atom_site_fract_z
Y1 Y 0.0000 0.0000 0.5000
Sc1 Sc 0.5000 0.5000 0.5000
Ir1 Ir 0.0000 0.0000 0.0000
```

---

(7)
Compound: YZrCoRh
Source: the Alexandria database
Functional: PBE-GGA
Structure: optimized geometry

## Properties
magnetic moment = 0.02 μB/cell
mass density = 7.76 Mg/m³
calculated formation energy = -0.449 eV per atom
crystal system = cubic
total energy = -7.8160 eV/atom
D(E_F) = 0.66 states/eV/atom

Structure (CIF):
```
data_YZrCoRh
_chemical_formula_sum 'Y4 Zr4 Co4 Rh4'
_symmetry_space_group_name_H-M 'F -4 3 m'
_symmetry_Int_Tables_number 216
_symmetry_space_group_name_Hall 'F -4 2 3'
_cell_length_a 6.6407
_cell_length_b 6.6407
_cell_length_c 6.6407
_cell_angle_alpha 90.00
_cell_angle_beta 90.00
_cell_angle_gamma 90.00
loop_
_atom_site_label
_atom_site_type_symbol
_atom_site_fract_x
_atom_site_fract_y
_atom_site_fract_z
Y1 Y 0.0000 0.0000 0.0000
Zr1 Zr 0.0000 0.0000 0.5000
Co1 Co 0.2500 0.2500 0.7500
Rh1 Rh 0.2500 0.2500 0.2500
```

---

(8)
Compound: RbGaAgSb2
Source: the Alexandria database
Functional: PBE-GGA
Structure: optimized geometry

## Properties
magnetic moment = 0.00 μB/cell
mass density = 4.75 Mg/m³
formation energy from raw total energies = 0.32 eV/atom
polymorph energy (0 for the lowest one) = 238 kJ/mol of formula units
crystal system = tetragonal
total energy = -2.6957 eV/atom
D(E_F) = 0.52 states/eV/atom

Structure (CIF):
```
data_RbGaAgSb2
_chemical_formula_sum 'Rb1 Ga1 Ag1 Sb2'
_symmetry_space_group_name_H-M 'P 4/m m m'
_symmetry_Int_Tables_number 123
_symmetry_space_group_name_Hall '-P 4 2'
_cell_length_a 5.4202
_cell_length_b 5.4202
_cell_length_c 6.0283
_cell_angle_alpha 90.00
_cell_angle_beta 90.00
_cell_angle_gamma 90.00
loop_
_atom_site_label
_atom_site_type_symbol
_atom_site_fract_x
_atom_site_fract_y
_atom_site_fract_z
Rb1 Rb 0.0000 0.0000 0.0000
Ga1 Ga 0.5000 0.5000 0.0000
Ag1 Ag 0.0000 0.0000 0.5000
Sb1 Sb 0.0000 0.5000 0.5000
```